Record 1
Entry from Alexandria: K2RhO2 after structural relaxation (PBE).

```
K2RhO2
1.0
5.920 0.000 0.000
0.000 5.920 0.000
0.000 0.000 4.492
K Rh O
4 2 4
Direct
0.161 0.339 0.000
0.339 0.839 0.000
0.661 0.161 0.000
0.839 0.661 0.000
0.000 0.000 0.500
0.500 0.500 0.500
0.191 0.691 0.500
0.309 0.191 0.500
0.691 0.809 0.500
0.809 0.309 0.500
```

Uncorrected formation energy (kJ/mol of atoms): -57.0
DOS(E_F) (states/eV per cell): 5.72
Magnetic moment (μB/cell): 2.0

Record 2
Entry from Alexandria: PuSbPdPt after structural relaxation (PBE).

```
PuSbPdPt
1.0
0.000 3.440 3.440
3.440 0.000 3.440
3.440 3.440 0.000
Pu Sb Pd Pt
1 1 1 1
Direct
0.000 0.000 0.000
0.500 0.500 0.500
0.250 0.250 0.250
0.750 0.750 0.750
```

Uncorrected formation energy (kJ/mol of atoms): -53.5
DOS(E_F) (states/eV per cell): 11.54
Magnetic moment (μB/cell): 5.1